The following is a DFT calculation (PBE) of a geometry-optimized Al2HPt structure.

Summary:
Magnetization in μB/f.u.: 0.00
ρ in g/cm³: 6.18
ΔE to the lowest computed polymorph in eV/atom: 0.000
Crystal system: trigonal

Lattice parameters (Å, degrees): 3.4910 3.4910 19.1103 90.00 90.00 120.00
Space group R-3m (No. 166, hexagonal axes)
One atom of each set of equivalent atoms:
Al 0.0000 0.0000 0.0898
H 0.0000 0.0000 0.0000
Pt 0.0000 0.0000 0.5000

***

The following is a DFT calculation (PBE) of a geometry-optimized Al2HPt structure.

Summary:
Magnetization in μB/f.u.: 0.00
ρ in g/cm³: 7.12
ΔE to the lowest computed polymorph in eV/atom: 0.225
Crystal system: tetragonal

Lattice parameters (Å, degrees): 4.7169 4.7169 10.4869 90.00 90.00 90.00
Space group I-42d (No. 122)
One atom of each set of equivalent atoms:
Al 0.1442 0.2500 0.1250
H 0.0000 0.0000 0.0000
Pt 0.0000 0.0000 0.5000

***

The lowest ΔE to the lowest computed polymorph belongs to which entry? number 1

***

What did the first record say?
The following is a DFT calculation (PBE) of a geometry-optimized Al2HPt structure.

Summary:
Magnetization in μB/f.u.: 0.00
ρ in g/cm³: 6.18
ΔE to the lowest computed polymorph in eV/atom: 0.000
Crystal system: trigonal

Lattice parameters (Å, degrees): 3.4910 3.4910 19.1103 90.00 90.00 120.00
Space group R-3m (No. 166, hexagonal axes)
One atom of each set of equivalent atoms:
Al 0.0000 0.0000 0.0898
H 0.0000 0.0000 0.0000
Pt 0.0000 0.0000 0.5000

***

Which value of ρ does entry 2 give? 7.12 g/cm³